HgMo2O | Alexandria via LeMat-Bulk | PBE with a Hubbard U | relaxed; polymorph energy (0 for the lowest one) = 0 meV per atom
1.0
-2.913 2.913 5.905
2.913 -2.913 5.905
2.913 2.913 -5.905
Hg Mo O
2 4 2
Cartesian
0.000 0.000 0.000 Hg
0.000 2.913 2.952 Hg
1.456 -0.523 4.428 Mo
2.390 1.456 1.476 Mo
1.456 3.436 -1.476 Mo
0.523 1.456 7.381 Mo
2.913 0.000 2.952 O
0.000 0.000 5.905 O